[1]
# HfSn3Hg

An optimized crystal structure of HfSn3Hg (PBE, the Alexandria database).

Computed properties:
total moment = 0.0000 μB per atom
DFT formation energy = 93.5 kJ per mole of atoms
crystal system = cubic
space-group type = Pm-3m, No. 221
ΔE to the lowest computed polymorph = 0.6757 eV/atom

```
HfSn3Hg
1.0
-2.712 4.427 1.537
-4.539 -2.924 0.411
1.166 -1.082 5.175
Hg Sn Hf
1 3 1
Cartesian
0.000 0.000 0.000
-2.269 -1.462 0.206
0.583 -0.541 2.588
-1.356 2.213 0.769
-3.042 0.210 3.562
```

=====

[2]
# Hf3SnHg

An optimized crystal structure of Hf3SnHg (PBE, the Alexandria database).

Computed properties:
total moment = 0.0000 μB per atom
DFT formation energy = -1.5 kJ per mole of atoms
crystal system = orthorhombic
space-group type = Cmcm, No. 63
ΔE to the lowest computed polymorph = 0.0000 eV/atom

```
Hf3SnHg
1.0
-2.513 2.123 0.235
-3.230 -5.976 -3.713
-2.550 -3.972 8.612
Hg Hf Sn
2 6 2
Cartesian
-1.275 -1.986 4.306
0.000 0.000 0.000
-3.972 -2.489 3.135
-2.761 -0.602 -0.955
-5.531 -7.223 6.089
-5.355 -3.722 -0.503
-2.938 -4.103 5.637
-4.320 -5.336 1.999
-5.696 -4.686 4.551
-2.596 -3.139 0.583
```

=====

[3]
# HfSn2Hg

An optimized crystal structure of HfSn2Hg (PBE, the Alexandria database).

Computed properties:
total moment = 0.0000 μB per atom
DFT formation energy = -5.7 kJ per mole of atoms
crystal system = tetragonal
space-group type = P4/mmm, No. 123

```
HfSn2Hg
1.0
-2.727 -0.676 2.703
2.786 -0.767 2.618
0.123 5.991 1.623
Sn Hg Hf
2 1 1
Cartesian
0.094 4.576 1.240
0.029 1.415 0.383
0.091 2.274 3.472
0.029 -0.721 2.661
```

=====

> Which value of total moment does entry 1 give?

0.0000 μB per atom